Record 1
Density functional theory data (PBE-GGA) for an optimized crystal structure of CaMgP3.

Calculated values
Polymorph energy (0 for the lowest one) (kJ/mol of atoms): 0.00
E_form (eV per atom): 0.17
Calculated total energy (eV per atom): -3.791

The structure in POSCAR format:
```
CaMgP3
1.0
4.8293 0.0000 0.0000
0.0000 4.8293 0.0000
0.0000 0.0000 4.8293
Ca Mg P
1 1 3
Cartesian
0.0000 0.0000 0.0000
2.4146 2.4146 2.4146
0.0000 2.4146 2.4146
2.4146 0.0000 2.4146
2.4146 2.4146 0.0000
```

---

Record 2
Density functional theory data (PBE-GGA) for an optimized crystal structure of CaMgP2.

Calculated values
Polymorph energy (0 for the lowest one) (kJ/mol of atoms): 17.69
E_form (eV per atom): -0.45
Calculated total energy (eV per atom): -4.057

The structure in POSCAR format:
```
CaMgP2
1.0
5.0671 0.0000 0.0000
0.0000 5.0671 0.0000
0.0000 0.0000 3.0327
Ca Mg P
1 1 2
Cartesian
0.0000 0.0000 0.0000
2.5335 2.5335 0.0000
0.0000 2.5335 1.5164
2.5335 0.0000 1.5164
```

---

Record 3
Density functional theory data (PBE-GGA) for an optimized crystal structure of CaMgP2.

Calculated values
Polymorph energy (0 for the lowest one) (kJ/mol of atoms): 64.78
E_form (eV per atom): 0.04
Calculated total energy (eV per atom): -3.569

The structure in POSCAR format:
```
CaMgP2
1.0
0.0000 3.3879 3.3879
3.3879 0.0000 3.3879
3.3879 3.3879 0.0000
Ca Mg P
1 1 2
Cartesian
0.0000 0.0000 0.0000
1.6939 1.6939 1.6939
3.3879 3.3879 3.3879
5.0818 5.0818 5.0818
```